Record 1
Ce2HBr2: optimized geometry, GGA-PBE.

POSCAR file:
```
Ce2HBr2
1.0
10.452 0.000 0.000
0.000 7.719 0.000
-1.024 0.000 6.361
Ce H Br
8 4 8
direct
0.036 0.132 0.248
0.036 0.368 0.748
0.289 0.063 0.802
0.289 0.437 0.302
0.711 0.563 0.698
0.711 0.937 0.198
0.964 0.632 0.252
0.964 0.868 0.752
0.082 0.094 0.618
0.082 0.406 0.118
0.918 0.594 0.882
0.918 0.906 0.382
0.193 0.671 0.630
0.193 0.829 0.130
0.458 0.135 0.226
0.458 0.365 0.726
0.542 0.635 0.274
0.542 0.865 0.774
0.807 0.171 0.870
0.807 0.329 0.370
```

Computed properties:
Total DFT energy (no corrections): -23.52 eV/f.u.

---

Record 2
Ce2HBr3: optimized geometry, GGA-PBE.

POSCAR file:
```
Ce2HBr3
1.0
8.453 -2.040 0.000
8.453 2.040 0.000
-5.291 0.000 9.859
Ce H Br
4 2 6
direct
0.085 0.085 0.456
0.364 0.364 0.205
0.636 0.636 0.795
0.915 0.915 0.544
0.076 0.076 0.662
0.924 0.924 0.338
0.158 0.158 0.010
0.272 0.272 0.379
0.451 0.451 0.763
0.549 0.549 0.237
0.728 0.728 0.621
0.842 0.842 0.990
```

Computed properties:
Total DFT energy (no corrections): -28.32 eV/f.u.

---

Record 3
Ce4H2Br5: optimized geometry, GGA-PBE.

POSCAR file:
```
Ce4H2Br5
1.0
9.043 -1.962 0.000
9.043 1.962 0.000
-1.959 0.000 8.375
Ce H Br
4 2 5
direct
0.001 0.001 0.219
0.345 0.345 0.917
0.655 0.655 0.083
0.999 0.999 0.781
0.456 0.456 0.850
0.544 0.544 0.150
0.170 0.170 0.349
0.171 0.171 0.820
0.500 0.500 0.500
0.829 0.829 0.180
0.830 0.830 0.651
```

Computed properties:
Total DFT energy (no corrections): -51.86 eV/f.u.

---

Record 4
Ce2HBr: optimized geometry, GGA-PBE.

POSCAR file:
```
Ce2HBr
1.0
1.817 1.049 7.579
-1.817 1.049 7.579
0.000 -2.098 7.579
Ce H Br
2 1 1
direct
0.230 0.230 0.230
0.770 0.770 0.770
0.500 0.500 0.500
0.000 0.000 0.000
```

Computed properties:
Total DFT energy (no corrections): -19.64 eV/f.u.

---

Record 5
Ce2H2Br: optimized geometry, GGA-PBE.

POSCAR file:
```
Ce2H2Br
1.0
-1.784 1.784 7.100
1.784 -1.784 7.100
1.784 1.784 -7.100
Ce H Br
2 2 1
direct
0.150 0.150 0.000
0.850 0.850 0.000
0.250 0.750 0.500
0.750 0.250 0.500
0.500 0.500 0.000
```

Computed properties:
Total DFT energy (no corrections): -23.77 eV/f.u.

---

Record 6
CeHBr3: optimized geometry, GGA-PBE.

POSCAR file:
```
CeHBr3
1.0
7.885 0.000 0.000
0.000 4.139 0.000
-1.030 0.000 8.264
Ce H Br
2 2 6
direct
0.138 0.250 0.269
0.862 0.750 0.731
0.365 0.250 0.403
0.635 0.750 0.597
0.116 0.250 0.872
0.185 0.750 0.533
0.368 0.750 0.176
0.632 0.250 0.824
0.815 0.250 0.467
0.884 0.750 0.128
```

Computed properties:
Total DFT energy (no corrections): -19.91 eV/f.u.

---

Record 7
Ce2HBr8: optimized geometry, GGA-PBE.

POSCAR file:
```
Ce2HBr8
1.0
4.462 -6.648 0.000
4.462 6.648 0.000
-0.881 0.000 5.691
Ce H Br
2 1 8
direct
0.182 0.818 0.000
0.818 0.182 0.000
0.500 0.500 0.500
0.094 0.094 0.277
0.172 0.441 0.919
0.241 0.759 0.500
0.441 0.172 0.919
0.559 0.828 0.081
0.759 0.241 0.500
0.828 0.559 0.081
0.906 0.906 0.723
```

Computed properties:
Total DFT energy (no corrections): -41.33 eV/f.u.

---

Record 8
Ce2H2IBr: optimized geometry, GGA-PBE.

POSCAR file:
```
Ce2H2IBr
1.0
4.007 0.000 0.000
-2.003 3.470 0.000
0.000 0.000 9.062
Ce H I Br
2 2 1 1
direct
0.333 0.667 0.281
0.667 0.333 0.719
0.333 0.667 0.742
0.667 0.333 0.258
0.000 0.000 0.000
0.000 0.000 0.500
```

Computed properties:
Total DFT energy (no corrections): -26.93 eV/f.u.